1.
Below is an optimized crystal structure of CsCo4Cl7, with properties calculated at the PBE-GGA level.

Unit cell a=6.1178 b=6.4010 c=15.8569 alpha=90.00 beta=90.00 gamma=90.00
Closest atoms and distances in Å follow each position.
Positions (direct):
Cs1 0.5046 0.8051 0.5000  12 Cl 3.73-4.11
Cs2 0.0046 0.1949 0.0000  12 Cl 3.73-4.11
Co1 0.5883 0.6830 0.8769  4 Cl 2.27-2.30
Co2 0.0769 0.8131 0.2509  4 Cl 2.26-2.33
Co3 0.5769 0.1869 0.2491  4 Cl 2.26-2.33
Co4 0.0883 0.3170 0.6231  4 Cl 2.27-2.30
Co5 0.0883 0.3170 0.3769  4 Cl 2.27-2.30
Co6 0.5883 0.6830 0.1231  4 Cl 2.27-2.30
Co7 0.0769 0.8131 0.7491  4 Cl 2.26-2.33
Co8 0.5769 0.1869 0.7509  4 Cl 2.26-2.33
Cl1 0.9619 0.6994 0.1235  2 Co 2.26-2.29
Cl2 0.4619 0.3006 0.3765  2 Co 2.26-2.29
Cl3 0.5025 0.3358 0.8769  2 Co 2.26-2.28
Cl4 0.0025 0.6642 0.6231  2 Co 2.26-2.28
Cl5 0.0025 0.6642 0.3769  2 Co 2.26-2.28
Cl6 0.5025 0.3358 0.1231  2 Co 2.26-2.28
Cl7 0.4557 0.8439 0.7580  3 Co 2.30-2.33
Cl8 0.9557 0.1561 0.7420  3 Co 2.30-2.33
Cl9 0.9557 0.1561 0.2580  3 Co 2.30-2.33
Cl10 0.4557 0.8439 0.2420  3 Co 2.30-2.33
Cl11 0.4795 0.8301 0.0000  2 Co 2.27
Cl12 0.9795 0.1699 0.5000  2 Co 2.27
Cl13 0.9619 0.6994 0.8765  2 Co 2.26-2.29
Cl14 0.4619 0.3006 0.6235  2 Co 2.26-2.29

raw total energy = -4.181 eV/atom
Fermi-level density of states = 0.641 states/eV/atom
symmetry = Pmn2_1, No. 31

---

2.
Below is an optimized crystal structure of Cs3CoCl6, with properties calculated at the PBE-GGA level.

Unit cell a=9.0121 b=9.0121 c=9.0121 alpha=86.80 beta=86.80 gamma=86.80
Closest atoms and distances in Å follow each position.
Positions (direct):
Cs1 0.5885 0.2501 0.9116  8 Cl 3.51-3.62
Cs2 0.2501 0.9116 0.5885  8 Cl 3.51-3.62
Cs3 0.0884 0.4115 0.7499  8 Cl 3.51-3.62
Cs4 0.9116 0.5885 0.2501  8 Cl 3.51-3.62
Cs5 0.7499 0.0884 0.4115  8 Cl 3.51-3.62
Cs6 0.4115 0.7499 0.0884  8 Cl 3.51-3.62
Co1 0.0000 0.0000 0.0000  6 Cl 2.30
Co2 0.5000 0.5000 0.5000  6 Cl 2.30
Cl1 0.7658 0.9235 0.0671  1 Co 2.30
Cl2 0.0765 0.9329 0.2342  1 Co 2.30
Cl3 0.7342 0.4327 0.5767  1 Co 2.30
Cl4 0.9329 0.2342 0.0765  1 Co 2.30
Cl5 0.5767 0.7342 0.4327  1 Co 2.30
Cl6 0.5673 0.4233 0.2658  1 Co 2.30
Cl7 0.4327 0.5767 0.7342  1 Co 2.30
Cl8 0.4233 0.2658 0.5673  1 Co 2.30
Cl9 0.0671 0.7658 0.9235  1 Co 2.30
Cl10 0.2658 0.5673 0.4233  1 Co 2.30
Cl11 0.9235 0.0671 0.7658  1 Co 2.30
Cl12 0.2342 0.0765 0.9329  1 Co 2.30

raw total energy = -3.495 eV/atom
symmetry = R-3c, No. 167